Material: Tl2PtCl
Method: DFT, PBE-GGA
State: relaxed

Properties
- E: -3.30 eV/atom
- Formation energy from raw total energies: -3.337 kcal/mol of atoms
- Relative energy among the computed polymorphs: 182.0 meV/atom

Lattice parameters (Å, degrees): 3.233 4.978 12.621 90.00 90.00 90.00
Space group Imm2 (No. 44)
Asymmetric unit:
Tl: 0.000 0.000 0.000 (multiplicity 2)
Tl: 0.000 0.500 0.221 (multiplicity 2)
Pt: 0.000 0.000 0.509 (multiplicity 2)
Cl: 0.000 0.500 0.718 (multiplicity 2)

Material: CePmIn5
Method: DFT, PBE-GGA
State: relaxed

Properties
- E: -3.63 eV/atom
- Formation enthalpy at 0 K: -101 kJ/mol of formula units

Lattice parameters (Å, degrees): 5.243 5.243 7.477 90.00 90.00 90.00
Space group P4/mmm (No. 123)
Asymmetric unit:
Ce: 0.000 0.000 0.000 (multiplicity 1)
Pm: 0.500 0.500 0.500 (multiplicity 1)
In: 0.000 0.000 0.500 (multiplicity 1)
In: 0.000 0.500 0.241 (multiplicity 4)